No. 1
! LaEuRu, relaxed, DFT PBE; values from VASP
! Formation energy: 0.07 eV per atom
! SG: P3m1, No. 156
&SYSTEM
  ibrav = 0, nat = 3, ntyp = 3
/
ATOMIC_SPECIES
Eu 151.96 Eu.upf
Ru 101.07 Ru.upf
La 138.91 La.upf
CELL_PARAMETERS angstrom
3.7650 0.0000 0.0000
0.0000 4.8149 0.0000
0.0000 -2.4075 4.1698
ATOMIC_POSITIONS angstrom
Eu 2.3542 0.0000 2.7799
Ru 1.1347 2.4075 1.3899
La 0.2760 0.0000 0.0000

=====

No. 2
! NaTeS3, relaxed, DFT PBE; values from VASP
! SG: R-3, No. 148
! Raw formation energy: -0.114 eV per atom
&SYSTEM
  ibrav = 0, nat = 10, ntyp = 3
/
ATOMIC_SPECIES
Na 22.99 Na.upf
Te 127.60 Te.upf
S 32.06 S.upf
CELL_PARAMETERS angstrom
6.7087 0.0000 0.0000
3.3544 5.8099 0.0000
3.3544 1.9366 7.7527
ATOMIC_POSITIONS angstrom
Na 10.0631 5.8099 4.3858
Na 3.3544 1.9366 3.3669
Te 6.7087 3.8733 2.3883
Te 6.7087 3.8733 5.3643
S 5.2186 5.6042 1.9586
S 8.9528 4.2984 1.9586
S 5.9548 1.7173 1.9586
S 8.1989 2.1424 5.7941
S 4.4646 3.4482 5.7941
S 7.4626 6.0293 5.7941

=====

No. 3
! MgNbReIr2, relaxed, DFT PBE; values from VASP
! Formation energy: 1.47 eV per atom
! SG: P4/mmm, No. 123
&SYSTEM
  ibrav = 0, nat = 5, ntyp = 4
/
ATOMIC_SPECIES
Re 186.21 Re.upf
Nb 92.91 Nb.upf
Ir 192.22 Ir.upf
Mg 24.30 Mg.upf
CELL_PARAMETERS angstrom
-1.8902 -4.0562 1.8016
3.2158 0.0546 3.4968
-3.0061 2.6106 2.7238
ATOMIC_POSITIONS angstrom
Re 1.6079 0.0273 1.7484
Nb 0.0000 0.0000 0.0000
Ir -1.5031 1.3053 1.3619
Ir -0.9451 -2.0281 0.9008
Mg -0.8402 -0.6955 4.0111

=====

No. 4
! AcTmIn2Te4, relaxed, DFT PBE; values from VASP
! SG: P2/m, No. 10
! Raw formation energy: -0.980 eV per atom
&SYSTEM
  ibrav = 0, nat = 8, ntyp = 4
/
ATOMIC_SPECIES
Ac 227.00 Ac.upf
Tm 168.93 Tm.upf
In 114.82 In.upf
Te 127.60 Te.upf
CELL_PARAMETERS angstrom
4.5691 0.0000 0.0000
0.0000 8.5095 -0.3861
0.0000 2.7792 7.4594
ATOMIC_POSITIONS angstrom
Ac 2.2846 7.0340 7.2664
Tm 0.0001 5.6443 3.5367
In 0.0000 2.7792 7.4594
In 2.2846 1.3896 3.7297
Te 0.0001 8.2503 5.2094
Te 4.5691 3.0384 1.8639
Te 2.2846 6.8929 1.8118
Te 2.2846 4.3958 5.2615

=====

No. 5
! DyNi3B, relaxed, DFT PBE; values from VASP
! Formation energy: -0.40 eV per atom
! SG: Pm-3m, No. 221
&SYSTEM
  ibrav = 0, nat = 5, ntyp = 3
/
ATOMIC_SPECIES
Ni 58.69 Ni.upf
B 10.81 B.upf
Dy 162.50 Dy.upf
CELL_PARAMETERS angstrom
4.0182 0.0000 0.0000
0.0000 4.0182 0.0000
0.0000 0.0000 4.0182
ATOMIC_POSITIONS angstrom
Ni 0.0000 2.0091 0.0000
Ni 0.0000 0.0000 2.0091
Ni 2.0091 0.0000 0.0000
B 0.0000 0.0000 0.0000
Dy 2.0091 2.0091 2.0091

=====

No. 6
! Sc2Cd3Ag3, relaxed, DFT PBE; values from VASP
! Formation energy: -0.23 eV per atom
! SG: R3m, No. 160
&SYSTEM
  ibrav = 0, nat = 8, ntyp = 3
/
ATOMIC_SPECIES
Sc 44.96 Sc.upf
Cd 112.41 Cd.upf
Ag 107.87 Ag.upf
CELL_PARAMETERS angstrom
-2.6148 -2.2310 -3.3895
-2.6701 -3.8516 1.1574
-7.8539 2.6777 0.8588
ATOMIC_POSITIONS angstrom
Sc -7.8040 2.6391 0.8457
Sc -6.6181 -1.6649 -0.6738
Cd -3.3103 -0.8315 -0.3366
Cd -9.8297 -2.5726 -1.0364
Cd -4.2876 -3.4648 -1.2870
Ag -5.5573 0.9039 0.2546
Ag -7.5597 -4.3257 -1.6336
Ag -8.8735 0.0770 -0.0805

=====

No. 7
! Hg2SbAu2, relaxed, DFT PBE; values from VASP
! SG: P2_1, No. 4
! Raw formation energy: 0.012 eV per atom
&SYSTEM
  ibrav = 0, nat = 10, ntyp = 3
/
ATOMIC_SPECIES
Hg 200.59 Hg.upf
Sb 121.76 Sb.upf
Au 196.97 Au.upf
CELL_PARAMETERS angstrom
-1.1821 0.5775 3.4997
-2.2202 -6.5061 -1.5953
8.3997 -3.7116 3.4491
ATOMIC_POSITIONS angstrom
Hg 6.9546 -5.1546 5.2186
Hg 4.9811 -7.2521 2.9599
Hg 2.1246 -6.2894 1.8109
Hg 1.2029 -2.9125 2.8807
Sb -1.6634 -5.4249 2.3854
Sb 4.9741 -3.4698 2.2754
Au -0.4660 -3.8322 0.5179
Au 4.1456 -9.2063 5.0040
Au 3.3757 -4.8856 3.9783
Au 3.3109 -1.5204 1.3591

=====

No. 8
! Bi4S5F, relaxed, DFT PBE; values from VASP
! SG: C2/m, No. 12
! Raw formation energy: -0.468 eV per atom
&SYSTEM
  ibrav = 0, nat = 10, ntyp = 3
/
ATOMIC_SPECIES
Bi 208.98 Bi.upf
S 32.06 S.upf
F 19.00 F.upf
CELL_PARAMETERS angstrom
4.2026 0.0000 0.0000
0.0000 7.0864 -0.1549
-2.1013 -0.9834 9.8629
ATOMIC_POSITIONS angstrom
Bi 0.0000 6.3085 6.3848
Bi 2.1013 4.4029 9.5405
Bi 2.1013 -0.2055 3.3231
Bi 0.0000 1.7001 0.1674
S 2.1013 4.4308 7.0316
S 2.1013 0.9101 5.6275
S 0.0000 5.1929 4.0804
S 2.1013 3.5432 -0.0775
S 0.0000 1.6722 2.6763
F 2.1013 0.0000 0.0000

=====

No. 9
! Pr4TmHg, relaxed, DFT PBE; values from VASP
! Formation energy: -0.14 eV per atom
! SG: P4/mmm, No. 123
&SYSTEM
  ibrav = 0, nat = 6, ntyp = 3
/
ATOMIC_SPECIES
Pr 140.91 Pr.upf
Tm 168.93 Tm.upf
Hg 200.59 Hg.upf
CELL_PARAMETERS angstrom
3.7275 -0.0007 0.0002
0.0007 3.7275 0.0002
-0.0007 -0.0007 14.1502
ATOMIC_POSITIONS angstrom
Pr 1.8635 1.8627 11.7032
Pr 1.8640 1.8633 2.4474
Pr 3.7277 3.7262 9.1301
Pr -0.0002 -0.0002 5.0205
Tm 0.0000 0.0000 0.0000
Hg 1.8638 1.8630 7.0753

=====

No. 10
! BePb, relaxed, DFT PBE; values from VASP
! Formation energy: 0.37 eV per atom
! SG: I4/m, No. 87
&SYSTEM
  ibrav = 0, nat = 16, ntyp = 2
/
ATOMIC_SPECIES
Be 9.01 Be.upf
Pb 207.20 Pb.upf
CELL_PARAMETERS angstrom
-7.4954 -5.7311 3.0366
0.7159 -5.3433 -8.3176
2.3298 -2.1940 1.6100
ATOMIC_POSITIONS angstrom
Be -3.3257 -3.0585 0.6447
Be -3.4538 -8.0159 -5.9257
Be -6.5156 -7.6449 -0.9893
Be -0.2638 -3.4295 -4.2918
Be -5.5505 -9.6927 -1.1909
Be 1.1009 -3.5757 -2.4802
Be -1.2451 -8.5480 -5.8614
Be -3.2045 -4.7203 2.1903
Pb -0.9786 -6.0801 -6.8697
Pb -5.8009 -4.9943 1.5886
Pb -0.5556 -1.7032 -1.5170
Pb -6.2238 -9.3712 -3.7641
Pb -3.9193 -7.3710 -0.3876
Pb -0.5303 -5.8973 -3.2835
Pb -2.7805 -8.3374 -3.3525
Pb -1.6692 -4.9310 -0.3186

=====

No. 11
! LaTbGd2, relaxed, DFT PBE; values from VASP
! Formation energy: 0.03 eV per atom
! SG: P4/mmm, No. 123
&SYSTEM
  ibrav = 0, nat = 4, ntyp = 3
/
ATOMIC_SPECIES
Gd 157.25 Gd.upf
Tb 158.93 Tb.upf
La 138.91 La.upf
CELL_PARAMETERS angstrom
3.6233 0.0000 0.0000
0.0000 3.6233 0.0000
0.0000 0.0000 10.2127
ATOMIC_POSITIONS angstrom
Gd 0.0000 0.0000 7.7289
Gd 0.0000 0.0000 2.4838
Tb 1.8116 1.8116 0.0000
La 1.8116 1.8116 5.1063

=====

No. 12
! PrTmSb, relaxed, DFT PBE; values from VASP
! SG: C2/m, No. 12
! Raw formation energy: -0.601 eV per atom
&SYSTEM
  ibrav = 0, nat = 12, ntyp = 3
/
ATOMIC_SPECIES
Pr 140.91 Pr.upf
Tm 168.93 Tm.upf
Sb 121.76 Sb.upf
CELL_PARAMETERS angstrom
4.2534 0.0000 0.0000
0.0000 10.9909 0.6310
-2.1267 -0.5728 8.2165
ATOMIC_POSITIONS angstrom
Pr 2.1267 6.4615 8.0603
Pr 2.1267 9.3272 2.1857
Pr 0.0000 1.0910 6.6618
Pr 0.0000 3.9566 0.7873
Tm 2.1267 3.4359 4.4156
Tm 0.0000 0.7090 3.2721
Tm 0.0000 6.9822 4.4320
Tm 2.1267 9.7091 5.5754
Sb 2.1267 5.9670 2.3746
Sb 0.0000 8.6381 7.2869
Sb 0.0000 4.4511 6.4730
Sb 2.1267 1.7801 1.5607

=====

No. 13
! Pr6Ag2O, relaxed, DFT PBE; values from VASP
! SG: P2_1/c, No. 14
! Raw formation energy: -0.666 eV per atom
&SYSTEM
  ibrav = 0, nat = 18, ntyp = 3
/
ATOMIC_SPECIES
Pr 140.91 Pr.upf
Ag 107.87 Ag.upf
O 16.00 O.upf
CELL_PARAMETERS angstrom
-6.3352 -0.6976 -2.0991
-0.0179 -6.9315 2.3577
-3.2084 3.2382 9.4956
ATOMIC_POSITIONS angstrom
Pr -6.3801 -6.5614 2.9286
Pr -7.0444 -3.6652 5.1267
Pr -8.2632 -2.2347 8.9537
Pr -6.0678 0.0077 4.1948
Pr -7.2872 1.2130 8.0984
Pr -4.7531 -2.9773 2.1099
Pr -3.1815 2.1704 6.8257
Pr -2.5172 -0.7258 4.6275
Pr -1.2983 -2.1563 0.8005
Pr -3.4937 -4.3986 5.5595
Pr -2.2743 -5.6040 1.6559
Pr -4.8084 -1.4137 7.6443
Ag -8.2820 -1.0216 6.1379
Ag -6.0570 -4.2456 8.0447
Ag -3.5046 -0.1454 1.7095
Ag -1.2796 -3.3693 3.6163
O -3.1766 -3.8146 0.1293
O -1.6042 1.6191 4.7478

=====

No. 14
! K3Ba5H12, relaxed, DFT PBE; values from VASP
! E: -2.875 eV per atom
! SG: Ia-3d, No. 230
&SYSTEM
  ibrav = 0, nat = 80, ntyp = 3
/
ATOMIC_SPECIES
K 39.10 K.upf
Ba 137.33 Ba.upf
H 1.01 H.upf
CELL_PARAMETERS angstrom
-1.0051 -8.2172 -11.3094
13.2968 0.2541 4.4234
-8.2142 -5.0357 10.1786
ATOMIC_POSITIONS angstrom
K 3.2057 -6.6971 -5.5510
K 8.0663 -7.6290 -5.3059
K 4.4618 -6.0382 5.4381
K -1.6695 -3.9109 1.5425
K -1.2709 -8.4172 -6.7982
K 5.8800 -4.1816 1.0682
K -1.8026 -8.8172 2.2243
K 5.3484 -4.5816 10.0907
K 5.7469 -9.0879 1.7500
K -0.3843 -6.9606 -2.1456
K -3.9889 -5.3698 8.5984
K 0.8717 -6.3017 8.8435
Ba 2.8071 -2.1908 2.7897
Ba 6.6484 0.1270 2.2117
Ba 0.0000 0.0000 0.0000
Ba 1.9205 -3.6474 -1.8629
Ba -4.6097 -6.6264 -0.5654
Ba 6.1458 -3.9816 -3.4430
Ba 6.7666 -2.7250 5.7208
Ba -6.2792 -10.5373 0.9771
Ba 4.4763 -7.8925 -1.9005
Ba -4.8755 -6.8264 3.9458
Ba 8.9529 -6.1724 -0.6533
Ba 2.0387 -6.4994 1.6463
Ba -0.5026 -4.1086 -5.6547
Ba -4.1071 -2.5178 5.0893
Ba -0.3989 -5.1063 5.1930
Ba 10.3566 -2.4614 2.3154
Ba 2.5413 -2.3908 7.3010
Ba -2.6892 -10.2738 -2.4283
Ba 2.1569 -9.3514 5.1554
Ba 1.2703 -10.8080 0.5028
H 0.6666 -5.9540 -7.1181
H 3.4042 -4.5979 2.8437
H 1.6261 -9.3183 -6.2981
H 1.2090 -4.9553 -3.8470
H 3.2855 -8.0143 3.3969
H 5.4509 -8.6727 -6.5408
H 6.7850 -4.5683 4.0608
H 11.0712 -1.1399 4.2894
H 6.7178 -8.0074 4.4602
H 5.6157 -6.5489 -3.6470
H 2.3225 -8.2817 -3.0682
H 10.9846 -6.7189 -4.9735
H 4.9082 -3.5267 7.1552
H 4.3740 -3.4055 -1.5876
H 8.9172 -2.3494 6.8988
H -3.6202 -6.3644 1.8567
H 0.5297 -1.6912 1.9425
H 7.7550 -4.1211 -1.3681
H 8.9550 -8.0197 -2.3090
H 4.6632 -1.3729 1.3614
H 5.9701 -6.8304 8.0879
H 4.2873 -6.7931 0.3153
H 5.6797 -9.9462 -1.2019
H -3.9964 -11.0393 1.8081
H -0.2099 -6.2057 2.9773
H -1.6023 -3.0526 4.4945
H 8.0738 -1.9594 1.4845
H -4.8775 -4.9791 5.6015
H -1.8927 -6.1684 -4.7953
H -0.5857 -11.6258 1.9311
H -3.6776 -8.8777 4.6607
H 7.6976 -6.6343 1.4359
H 3.5477 -11.3076 1.3501
H -4.8398 -10.6494 -3.6062
H -0.8308 -9.4721 -3.8626
H -6.9072 -6.2799 8.2661
H -0.2965 -9.5933 4.8801
H -2.6404 -4.9914 -1.1676
H -1.5383 -6.4499 6.9396
H 1.7549 -4.7171 6.3608
H -6.9938 -11.8589 -0.9968
H -2.7076 -8.4305 -0.7682
H 2.8684 -8.0435 7.1396
H -1.3734 -4.3261 9.8334
H 0.7920 -4.9845 -0.1043
H 2.4513 -3.6805 9.5906
H 0.6732 -8.4009 0.4489
H 3.4108 -7.0448 10.4107

=====

No. 15
! Nd5Cu2Sb, relaxed, DFT PBE; values from VASP
! SG: I4/mcm, No. 140
! Raw formation energy: -0.376 eV per atom
&SYSTEM
  ibrav = 0, nat = 16, ntyp = 3
/
ATOMIC_SPECIES
Nd 144.24 Nd.upf
Cu 63.55 Cu.upf
Sb 121.76 Sb.upf
CELL_PARAMETERS angstrom
-6.7651 2.3582 -4.0255
-4.3406 -5.7808 3.9082
4.1809 5.9981 4.8756
ATOMIC_POSITIONS angstrom
Nd -3.5254 1.4306 4.1741
Nd -8.4883 -2.1240 2.0442
Nd 0.0000 0.0000 0.0000
Nd -5.5529 -1.7113 -0.0586
Nd 1.5635 4.6996 2.7143
Nd -2.6498 4.7723 1.4495
Nd 0.6880 1.3579 5.4388
Nd -4.2750 -2.1967 3.3089
Nd -7.6128 1.2177 -0.6804
Nd -3.3995 1.1450 0.5843
Cu -2.4879 -1.8243 0.9149
Cu -4.8373 0.7308 -2.0281
Cu -6.2685 -4.1533 1.9109
Cu -8.6179 -1.5982 -1.0321
Sb -6.2389 0.4322 2.3499
Sb -0.6860 2.1434 2.4085

=====

No. 16
! K2Ba4Ag, relaxed, DFT PBE; values from VASP
! Formation energy: 0.06 eV per atom
! SG: I4/mmm, No. 139
&SYSTEM
  ibrav = 0, nat = 7, ntyp = 3
/
ATOMIC_SPECIES
K 39.10 K.upf
Ba 137.33 Ba.upf
Ag 107.87 Ag.upf
CELL_PARAMETERS angstrom
6.5454 0.0000 0.0000
0.0000 6.5454 0.0000
-3.2727 -3.2727 11.0444
ATOMIC_POSITIONS angstrom
K 3.2727 3.2727 3.2169
K 0.0000 0.0000 7.8274
Ba 3.2727 3.2727 7.6794
Ba 0.0000 0.0000 3.3650
Ba 0.0000 3.2727 0.0000
Ba 3.2727 0.0000 0.0000
Ag 0.0000 0.0000 0.0000

=====

No. 17
! La2PmErAs4, relaxed, DFT PBE; values from VASP
! Formation energy: -1.54 eV per atom
! SG: P2/m, No. 10
&SYSTEM
  ibrav = 0, nat = 8, ntyp = 4
/
ATOMIC_SPECIES
La 138.91 La.upf
Pm 145.00 Pm.upf
Er 167.26 Er.upf
As 74.92 As.upf
CELL_PARAMETERS angstrom
4.2729 0.0000 0.0000
0.0000 7.3887 -0.1449
0.0000 2.6012 6.9214
ATOMIC_POSITIONS angstrom
La 0.0000 2.6012 6.9214
La 2.1365 1.3006 3.4607
Pm 2.1364 3.6944 -0.0724
Er 0.0000 4.9949 3.3883
As 0.0001 7.4197 5.0757
As 4.2729 2.5702 1.7009
As 2.1365 6.1217 1.6810
As 2.1365 3.8681 5.0955

=====

No. 18
! PaSnPd6, relaxed, DFT PBE; values from VASP
! Formation energy: -0.40 eV per atom
! SG: C2/m, No. 12
&SYSTEM
  ibrav = 0, nat = 8, ntyp = 3
/
ATOMIC_SPECIES
Pa 231.04 Pa.upf
Sn 118.71 Sn.upf
Pd 106.42 Pd.upf
CELL_PARAMETERS angstrom
4.5737 -0.0930 -1.3817
-1.7879 4.2108 -1.3817
-1.6112 -2.3816 9.4859
ATOMIC_POSITIONS angstrom
Pa 0.0000 0.0000 0.0000
Sn 0.5873 0.8681 3.3613
Pd -0.8252 -1.2197 7.3670
Pd 2.3841 1.0188 1.2703
Pd 1.9998 2.9560 -0.6445
Pd 1.1160 -0.8557 5.4522
Pd -1.2095 0.7175 5.4522
Pd 0.0587 2.5920 1.2703

=====

No. 19
! AcLaHo14, relaxed, DFT PBE; values from VASP
! Formation energy: 0.02 eV per atom
! SG: Amm2, No. 38
&SYSTEM
  ibrav = 0, nat = 16, ntyp = 3
/
ATOMIC_SPECIES
Ac 227.00 Ac.upf
La 138.91 La.upf
Ho 164.93 Ho.upf
CELL_PARAMETERS angstrom
-1.0511 -5.4529 -4.6885
3.4430 -1.2639 6.2745
-9.9348 -2.3631 4.9756
ATOMIC_POSITIONS angstrom
Ac 2.7047 -1.9522 4.4733
La 0.4556 -4.0485 -1.0130
Ho -4.5189 -5.2367 1.4573
Ho -2.2720 -3.1423 6.9385
Ho 0.9728 -1.3363 1.3077
Ho -3.9920 -2.5089 3.8049
Ho 2.1653 -4.6851 2.0984
Ho -2.7960 -5.8675 4.5979
Ho -7.1465 -3.7907 3.1826
Ho -2.3313 -2.6453 0.7710
Ho -5.9573 -7.1298 3.9710
Ho -1.1422 -5.9845 1.5595
Ho -7.7316 -6.5263 0.8414
Ho -2.8196 -5.3579 -1.6187
Ho -5.4683 -4.4302 6.3049
Ho -0.5955 -3.2712 3.8645